# 1
Here is an optimized crystal structure of TlCuOs3 from Alexandria via LeMat-Bulk. Energies are from PBE.

abc: 4.5265 4.5265 4.5265
angles: 90.00 90.00 90.00
With the nearest neighbours (Å) after each atom.
Fractional coordinates of all 5 atoms:
Cu (0.0000, 0.0000, 0.0000)  6 Os 2.26
Os (0.0000, 0.5000, 0.0000)  2 Cu 2.26
Os (0.0000, 0.0000, 0.5000)  2 Cu 2.26
Os (0.5000, 0.0000, 0.0000)  2 Cu 2.26
Tl (0.5000, 0.5000, 0.5000)  12 Os 3.20

## Properties
* E_form: 2067 meV/atom
* offset from the most stable computed form: 0 kJ/mol of formula units
* DOS(E_F): 5.53 states/eV/f.u.

***

# 2
Here is an optimized crystal structure of Li2MnRh2 from Alexandria via LeMat-Bulk. Energies are from PBE.

abc: 6.5961 6.5961 3.2050
angles: 90.00 90.00 90.00
With the nearest neighbours (Å) after each atom.
Fractional coordinates of all 10 atoms:
Rh (0.1397, 0.3603, 0.0000)  6 Li 2.46-2.55, 2 Mn 2.55, 1 Rh 2.61
Li (0.1596, 0.6596, 0.5000)  6 Rh 2.46-2.55
Mn (0.5000, 0.5000, 0.0000)  4 Rh 2.55
Rh (0.3603, 0.8603, 0.0000)  6 Li 2.46-2.55, 2 Mn 2.55, 1 Rh 2.61
Li (0.8404, 0.3404, 0.5000)  6 Rh 2.46-2.55
Mn (0.0000, 0.0000, 0.0000)  4 Rh 2.55
Li (0.3404, 0.1596, 0.5000)  6 Rh 2.46-2.55
Rh (0.6397, 0.1397, 0.0000)  6 Li 2.46-2.55, 2 Mn 2.55, 1 Rh 2.61
Rh (0.8603, 0.6397, 0.0000)  6 Li 2.46-2.55, 2 Mn 2.55, 1 Rh 2.61
Li (0.6596, 0.8404, 0.5000)  6 Rh 2.46-2.55

## Properties
* E_form: 106 meV/atom
* offset from the most stable computed form: 56 kJ/mol of formula units
* DOS(E_F): 2.36 states/eV/f.u.

***

# 3
Here is an optimized crystal structure of Mg7Cd3Ag from Alexandria via LeMat-Bulk. Energies are from PBE.

abc: 3.2210 11.7243 13.0884
angles: 90.00 90.00 97.90
With the nearest neighbours (Å) after each atom.
Fractional coordinates of all 22 atoms:
Mg (0.4147, 0.8294, 0.3950)  2 Ag 2.85, 4 Cd 3.04-3.08, 2 Mg 3.13-3.16
Ag (0.0255, 0.0511, 0.7500)  8 Mg 2.85-2.86, 1 Cd 3.13
Mg (0.7252, 0.4504, 0.9027)  5 Cd 2.93-3.12, 5 Mg 3.22-3.25
Mg (0.4147, 0.8294, 0.1050)  2 Ag 2.85, 4 Cd 3.04-3.08, 2 Mg 3.13-3.16
Cd (0.8494, 0.6987, 0.5583)  9 Mg 2.93-3.12, 2 Cd 3.22
Mg (0.2748, 0.5496, 0.4027)  5 Cd 2.93-3.12, 5 Mg 3.22-3.25
Cd (0.1603, 0.3206, 0.7500)  8 Mg 2.98-3.04, 1 Ag 3.13, 2 Cd 3.22
Mg (0.5853, 0.1706, 0.6050)  2 Ag 2.85, 4 Cd 3.04-3.08, 2 Mg 3.13-3.16
Mg (0.5853, 0.1706, 0.8950)  2 Ag 2.85, 4 Cd 3.04-3.08, 2 Mg 3.13-3.16
Mg (0.5491, 0.0981, 0.3722)  2 Ag 2.86, 2 Cd 3.00, 2 Mg 3.13-3.16
Ag (0.9745, 0.9489, 0.2500)  8 Mg 2.85-2.86, 1 Cd 3.13
Cd (0.1506, 0.3013, 0.0583)  9 Mg 2.93-3.12, 2 Cd 3.22
Mg (0.3143, 0.6286, 0.7500)  4 Cd 3.09, 6 Mg 3.22-3.30
Cd (0.8494, 0.6987, 0.9417)  9 Mg 2.93-3.12, 2 Cd 3.22
Mg (0.7252, 0.4504, 0.5973)  5 Cd 2.93-3.12, 5 Mg 3.22-3.25
Cd (0.8397, 0.6794, 0.2500)  8 Mg 2.98-3.04, 1 Ag 3.13, 2 Cd 3.22
Mg (0.5491, 0.0981, 0.1278)  2 Ag 2.86, 2 Cd 3.00, 2 Mg 3.13-3.16
Mg (0.4509, 0.9019, 0.8722)  2 Ag 2.86, 2 Cd 3.00, 2 Mg 3.13-3.16
Mg (0.6857, 0.3714, 0.2500)  4 Cd 3.09, 6 Mg 3.22-3.30
Mg (0.4509, 0.9019, 0.6278)  2 Ag 2.86, 2 Cd 3.00, 2 Mg 3.13-3.16
Mg (0.2748, 0.5496, 0.0973)  5 Cd 2.93-3.12, 5 Mg 3.22-3.25
Cd (0.1506, 0.3013, 0.4417)  9 Mg 2.93-3.12, 2 Cd 3.22

## Properties
* E_form: -65 meV/atom
* offset from the most stable computed form: 0 kJ/mol of formula units
* DOS(E_F): 3.84 states/eV/f.u.

***

# 4
Here is an optimized crystal structure of FeSiHg2 from Alexandria via LeMat-Bulk. Energies are from PBE.

abc: 7.5494 7.5494 3.7749
angles: 75.53 75.53 20.80
With the nearest neighbours (Å) after each atom.
Fractional coordinates of all 4 atoms:
Hg (0.5767, 0.5767, 0.4238)  2 Hg 2.73, 2 Fe 2.84
Fe (0.2500, 0.2500, 0.2500)  4 Si 2.33
Hg (0.9233, 0.9233, 0.0762)  2 Hg 2.73, 2 Fe 2.84
Si (0.7500, 0.7500, 0.7500)  4 Fe 2.33

## Properties
* energy relative to the elements, uncorrected: 0.11 eV/atom
* DOS(E_F): 1.53 states/eV/f.u.

***

# 5
Here is an optimized crystal structure of AlSb2Te from Alexandria via LeMat-Bulk. Energies are from PBE.

abc: 6.4699 6.4699 6.4699
angles: 140.91 140.91 56.47
With the nearest neighbours (Å) after each atom.
Fractional coordinates of all 4 atoms:
Te (0.2500, 0.7500, 0.5000)  4 Al 3.06
Sb (0.5000, 0.5000, 0.0000)  4 Sb 3.06
Al (0.7500, 0.2500, 0.5000)  4 Te 3.06
Sb (0.0000, 0.0000, 0.0000)  4 Sb 3.06

## Properties
* energy relative to the elements, uncorrected: 0.26 eV/atom
* offset from the most stable computed form: 134 kJ/mol of formula units
* DOS(E_F): 2.29 states/eV/f.u.

***

# 6
Here is an optimized crystal structure of CrRe3 from Alexandria via LeMat-Bulk. Energies are from PBE.

abc: 5.0778 2.6759 5.0778
angles: 79.88 63.02 100.12
With the nearest neighbours (Å) after each atom.
Fractional coordinates of all 4 atoms:
Re (0.5000, 0.0000, 0.5000)  6 Re 2.65-2.68, 2 Cr 2.65
Re (0.5000, 0.5000, 0.0000)  2 Cr 2.65, 6 Re 2.65-2.68
Re (0.0000, 0.5000, 0.5000)  6 Re 2.65-2.68, 2 Cr 2.65
Cr (0.0000, 0.0000, 0.0000)  6 Re 2.65, 2 Cr 2.68

## Properties
* E_form: 206 meV/atom
* DOS(E_F): 5.03 states/eV/f.u.